Below is a geometry-optimized YGaAs3 structure, with properties calculated at the PBEsol level.

Cell and atoms, written as POSCAR:
```
YGaAs3
1.0
-4.5295 -2.8061 -0.1075
2.5205 -4.1525 2.1922
-1.2380 1.8123 4.8564
Y As Ga
1 3 1
Direct
0.0000 0.0000 0.0000
0.0000 0.5000 0.0000
0.0000 0.0000 0.5000
0.5000 0.0000 0.0000
0.5000 0.5000 0.5000
```

ΔH_f (0 K) = 0.44 eV per atom